The following is a GGA-PBEsol calculation of a geometry-optimized TlIn2Sb structure, from the Alexandria database.

Its space group is Cmmm, No. 65. The calculation puts the uncorrected formation energy at 0.029 eV/atom. Its energy above the most stable polymorph in this dataset is 0.0174 eV per atom. As for the electronic total energy: -3.259 eV/atom.

The structure in CIF format:
```
data_TlIn2Sb
_cell_length_a 3.248
_cell_length_b 3.248
_cell_length_c 10.410
_cell_angle_alpha 90.00
_cell_angle_beta 90.00
_cell_angle_gamma 103.38
_space_group_name_H-M_alt 'P 1'
_space_group_IT_number 1
_space_group_name_Hall 'P 1'
loop_
_atom_site_label
_atom_site_fract_x
_atom_site_fract_y
_atom_site_fract_z
Tl1 0.000 0.000 0.000
In1 0.500 0.500 0.259
In2 0.500 0.500 0.741
Sb1 0.000 0.000 0.500
```